Computed, not measured: an optimized crystal structure of UTlAgBr6 at the GGA-PBE level of DFT.

```
data_UTlAgBr6
_cell_length_a 7.2916
_cell_length_b 7.2916
_cell_length_c 14.8355
_cell_angle_alpha 90.00
_cell_angle_beta 90.00
_cell_angle_gamma 120.00
_symmetry_space_group_name_H-M 'P -3 1 c'
_symmetry_Int_Tables_number 163
_symmetry_space_group_name_Hall '-P 3 2c'
loop_
_atom_site_label
_atom_site_fract_x
_atom_site_fract_y
_atom_site_fract_z
U1 0.3333 0.6667 0.2500
Tl1 0.0000 0.0000 0.0000
Ag1 0.3333 0.6667 0.7500
Br1 0.0124 0.3685 0.1387
```

Results
- energy relative to the elements, uncorrected (eV/atom) = -1.00